No. 1
{
  "formula": "Ac3TbPr2Te6",
  "functional": "PBE-GGA",
  "state": "relaxed",
  "lattice_angstrom": [[4.574, 0.000, 0.000], [0.000, 9.276, 0.306], [-2.287, -2.700, 9.680]],
  "species": ["Pr", "Pr", "Te", "Te", "Te", "Te", "Te", "Te", "Ac", "Ac", "Ac", "Tb"],
  "fractional_positions": [[0.168, 0.335, 0.336], [0.832, 0.665, 0.664], [0.331, 0.423, 0.663], [0.669, 0.577, 0.337], [0.001, 0.234, 0.003], [0.659, 0.087, 0.318], [0.999, 0.766, 0.997], [0.341, 0.913, 0.682], [0.830, 0.165, 0.659], [0.500, 0.500, 0.000], [0.170, 0.835, 0.341], [0.500, 0.000, 0.000]],
  "space_group": "C2/m (12)",
  "total_magnetization_mub_per_cell": 0.0,
  "dos_ef_per_ev_cell": 7.125,
  "vol_a3_per_fu": 414.5,
  "e_tot_ev_per_atom": -5.221
}

No. 2
{
  "formula": "V3Ge",
  "functional": "PBE-GGA",
  "state": "relaxed",
  "lattice_angstrom": [[-2.622, 1.979, -1.554], [-1.707, 0.249, 3.199], [4.268, 2.342, 0.031]],
  "species": ["V", "V", "V", "Ge"],
  "fractional_positions": [[0.250, 0.750, 0.500], [0.500, 0.500, 0.000], [0.750, 0.250, 0.500], [0.000, 0.000, 0.000]],
  "space_group": "I4/mmm (139)",
  "total_magnetization_mub_per_cell": 0.0,
  "dos_ef_per_ev_cell": 6.339,
  "e_form_ev_per_atom": -0.160,
  "vol_a3_per_fu": 54.6
}

No. 3
{
  "formula": "Th2NpPt9",
  "functional": "PBE-GGA",
  "state": "relaxed",
  "lattice_angstrom": [[5.442, 0.000, 0.000], [2.721, 4.713, 0.000], [2.721, 1.571, 9.020]],
  "species": ["Th", "Th", "Pt", "Pt", "Pt", "Pt", "Pt", "Pt", "Pt", "Pt", "Pt", "Np"],
  "fractional_positions": [[0.863, 0.863, 0.410], [0.137, 0.137, 0.590], [0.333, 0.333, 0.001], [0.667, 0.667, 0.999], [0.500, 0.500, 0.500], [0.586, 0.586, 0.746], [0.586, 0.081, 0.746], [0.414, 0.919, 0.254], [0.919, 0.414, 0.254], [0.081, 0.586, 0.746], [0.414, 0.414, 0.254], [0.000, 0.000, 0.000]],
  "space_group": "R-3m (166)",
  "relative_energy_ev_per_atom": 0.120,
  "total_magnetization_mub_per_cell": 3.6,
  "dos_ef_per_ev_cell": 14.458,
  "e_form_ev_per_atom": -0.816,
  "vol_a3_per_fu": 231.3
}

No. 4
{
  "formula": "Tb8Ru2Rh",
  "functional": "PBE-GGA",
  "state": "relaxed",
  "lattice_angstrom": [[-1.584, 4.479, 1.077], [-5.602, -2.684, 2.921], [6.855, -1.605, 5.742]],
  "species": ["Tb", "Tb", "Tb", "Tb", "Tb", "Tb", "Tb", "Tb", "Ru", "Ru", "Rh"],
  "fractional_positions": [[0.796, 0.684, 0.592], [0.669, 0.967, 0.338], [0.331, 0.033, 0.662], [0.596, 0.456, 0.192], [0.032, 0.789, 0.063], [0.404, 0.544, 0.808], [0.968, 0.211, 0.937], [0.204, 0.316, 0.408], [0.186, 0.703, 0.372], [0.814, 0.297, 0.628], [0.500, 0.000, 0.000]],
  "space_group": "C2/m (12)",
  "relative_energy_ev_per_atom": 0.000,
  "total_magnetization_mub_per_cell": 0.0,
  "dos_ef_per_ev_cell": 10.601,
  "e_form_ev_per_atom": -0.327,
  "vol_a3_per_fu": 280.3
}